[1]
Mg6TlPd2: relaxed, PBE-GGA.

The calculation puts the energy at -2.8302 eV/atom. The crystal system is orthorhombic. The excess energy over the best structure of this formula in the dataset comes out at 0.000 eV/atom.

Cell lengths 8.6483, 8.7062, 10.0144 Å; angles 90.00, 90.00, 90.00 degrees
Closest atoms and distances in Å follow each position.
Space group Immm (No. 71)
Asymmetric unit:
Mg 0.0000 0.2083 0.2469 (multiplicity 8)  2 Pd 2.68-2.78
Mg 0.1957 0.5000 0.1600 (multiplicity 8)  3 Pd 2.62-2.77
Mg 0.2013 0.3135 0.5000 (multiplicity 8)  3 Pd 2.76-2.86, 1 Tl 3.05
Tl 0.0000 0.0000 0.0000 (multiplicity 2)  2 Pd 2.86, 8 Mg 3.05-3.07
Tl 0.0000 0.0000 0.5000 (multiplicity 2)  12 Mg 3.08-3.24
Pd 0.0000 0.3280 0.0000 (multiplicity 4)  8 Mg 2.68-2.86, 1 Tl 2.86, 1 Pd 3.00
Pd 0.0000 0.5000 0.3598 (multiplicity 4)  8 Mg 2.62-2.78, 1 Pd 2.81

---

[2]
MgTl3Pd4: relaxed, PBE-GGA.

The calculation puts the energy at -3.9482 eV/atom. The crystal system is monoclinic.

Cell lengths 14.2627, 4.7046, 4.7051 Å; angles 90.00, 109.10, 90.00 degrees
Closest atoms and distances in Å follow each position.
Space group C2/m (No. 12)
Asymmetric unit:
Mg 0.0000 0.0000 0.0000 (multiplicity 2)  8 Pd 2.84
Tl 0.0000 0.5000 0.5000 (multiplicity 2)  8 Pd 2.84
Tl 0.2467 0.0000 0.2469 (multiplicity 4)  8 Pd 2.92-2.98
Pd 0.1181 0.0000 0.6180 (multiplicity 4)  2 Mg 2.84, 6 Tl 2.84-2.98
Pd 0.1180 0.5000 0.1170 (multiplicity 4)  6 Tl 2.84-2.98, 2 Mg 2.84

---

[3]
MgTl4Pd15: relaxed, PBE-GGA.

The calculation puts the energy at -4.6840 eV/atom. The crystal system is tetragonal.

Cell lengths 4.0421, 4.0421, 20.4936 Å; angles 90.00, 90.00, 90.00 degrees
Closest atoms and distances in Å follow each position.
Space group P4/mmm (No. 123)
Asymmetric unit:
Mg 0.0000 0.0000 0.0000 (multiplicity 1)  12 Pd 2.80-2.86
Tl 0.0000 0.0000 0.1958 (multiplicity 2)  12 Pd 2.86-2.90
Tl 0.0000 0.0000 0.3985 (multiplicity 2)  12 Pd 2.86-2.90
Pd 0.0000 0.5000 0.0943 (multiplicity 4)  2 Mg 2.80, 8 Pd 2.80-2.89, 2 Tl 2.90
Pd 0.0000 0.5000 0.2970 (multiplicity 4)  8 Pd 2.86-2.90, 4 Tl 2.90
Pd 0.0000 0.5000 0.5000 (multiplicity 2)  8 Pd 2.86-2.90, 4 Tl 2.90
Pd 0.5000 0.5000 0.0000 (multiplicity 1)  8 Pd 2.80, 4 Mg 2.86
Pd 0.5000 0.5000 0.1953 (multiplicity 2)  4 Tl 2.86, 8 Pd 2.89-2.90
Pd 0.5000 0.5000 0.3985 (multiplicity 2)  4 Tl 2.86, 8 Pd 2.90

---

[4]
MgTl3Pd: relaxed, PBE-GGA.

The calculation puts the energy at -2.6769 eV/atom. The crystal system is cubic. The excess energy over the best structure of this formula in the dataset comes out at 0.000 eV/atom.

Cell lengths 5.3494, 5.3494, 5.3494 Å; angles 90.00, 90.00, 90.00 degrees
Closest atoms and distances in Å follow each position.
Space group Pm-3m (No. 221)
Asymmetric unit:
Mg 0.0000 0.0000 0.0000 (multiplicity 1)  12 Tl 3.78
Tl 0.0000 0.5000 0.5000 (multiplicity 3)  2 Pd 2.67
Pd 0.5000 0.5000 0.5000 (multiplicity 1)  6 Tl 2.67

---

[5]
Mg5TlPd: relaxed, PBE-GGA.

The calculation puts the energy at -2.4336 eV/atom. The crystal system is tetragonal. The excess energy over the best structure of this formula in the dataset comes out at 0.039 eV/atom.

Cell lengths 4.4817, 4.4817, 7.8481 Å; angles 90.00, 90.00, 90.00 degrees
Closest atoms and distances in Å follow each position.
Space group P4/mmm (No. 123)
Asymmetric unit:
Mg 0.0000 0.0000 0.0000 (multiplicity 1)  4 Tl 3.17, 8 Mg 3.28
Mg 0.0000 0.5000 0.3049 (multiplicity 4)  2 Pd 2.71
Tl 0.5000 0.5000 0.0000 (multiplicity 1)  12 Mg 3.17-3.28
Pd 0.5000 0.5000 0.5000 (multiplicity 1)  8 Mg 2.71

---

[6]
Mg4TlPd2: relaxed, PBE-GGA.

The calculation puts the energy at -3.1174 eV/atom. The crystal system is orthorhombic. The excess energy over the best structure of this formula in the dataset comes out at 0.014 eV/atom.

Cell lengths 4.6999, 8.1369, 14.3803 Å; angles 90.00, 90.00, 90.00 degrees
Closest atoms and distances in Å follow each position.
Space group Cmcm (No. 63)
Asymmetric unit:
Mg 0.0000 0.0000 0.0000 (multiplicity 4)  6 Pd 2.85
Mg 0.0000 0.3328 0.1232 (multiplicity 8)  4 Pd 2.63-2.86
Mg 0.0000 0.3343 0.7500 (multiplicity 4)  3 Tl 2.71, 2 Pd 2.73
Tl 0.0000 0.0008 0.7500 (multiplicity 4)  3 Mg 2.71
Pd 0.0000 0.3335 0.5600 (multiplicity 8)  8 Mg 2.63-2.86

---

[7]
Mg3TlPd: relaxed, PBE-GGA.

The calculation puts the energy at -2.6442 eV/atom. The crystal system is cubic. The excess energy over the best structure of this formula in the dataset comes out at 0.117 eV/atom.

Cell lengths 5.0405, 5.0405, 5.0405 Å; angles 90.00, 90.00, 90.00 degrees
Closest atoms and distances in Å follow each position.
Space group Pm-3m (No. 221)
Asymmetric unit:
Mg 0.0000 0.0000 0.5000 (multiplicity 3)  2 Pd 2.52
Tl 0.5000 0.5000 0.5000 (multiplicity 1)  12 Mg 3.56
Pd 0.0000 0.0000 0.0000 (multiplicity 1)  6 Mg 2.52

---

[8]
MgTl3Pd12: relaxed, PBE-GGA.

The calculation puts the energy at -4.6905 eV/atom. The crystal system is tetragonal.

Cell lengths 4.0518, 4.0518, 16.2340 Å; angles 90.00, 90.00, 90.00 degrees
Closest atoms and distances in Å follow each position.
Space group P4/mmm (No. 123)
Asymmetric unit:
Mg 0.0000 0.0000 0.0000 (multiplicity 1)  12 Pd 2.79-2.87
Tl 0.0000 0.0000 0.2457 (multiplicity 2)  12 Pd 2.87-2.90
Tl 0.0000 0.0000 0.5000 (multiplicity 1)  12 Pd 2.87-2.89
Pd 0.0000 0.5000 0.1183 (multiplicity 4)  2 Mg 2.79, 8 Pd 2.79-2.89, 2 Tl 2.90
Pd 0.0000 0.5000 0.3727 (multiplicity 4)  8 Pd 2.87-2.90, 4 Tl 2.89
Pd 0.5000 0.5000 0.0000 (multiplicity 1)  8 Pd 2.79, 4 Mg 2.87
Pd 0.5000 0.5000 0.2452 (multiplicity 2)  4 Tl 2.87, 8 Pd 2.89-2.90
Pd 0.5000 0.5000 0.5000 (multiplicity 1)  4 Tl 2.87, 8 Pd 2.89

---

[9]
MgTl2Pd8: relaxed, PBE-GGA.

The calculation puts the energy at -4.4990 eV/atom. The crystal system is monoclinic. The excess energy over the best structure of this formula in the dataset comes out at 0.118 eV/atom.

Cell lengths 7.2481, 12.9371, 4.7548 Å; angles 90.00, 118.79, 90.00 degrees
Closest atoms and distances in Å follow each position.
Space group C2/m (No. 12)
Asymmetric unit:
Mg 0.0000 0.0000 0.0000 (multiplicity 2)  4 Pd 2.60-2.61
Tl 0.0000 0.3047 0.5000 (multiplicity 4)  8 Pd 2.72-2.88
Pd 0.0000 0.2013 0.0000 (multiplicity 4)  1 Mg 2.60, 2 Tl 2.73, 2 Pd 2.91
Pd 0.0965 0.5000 0.8126 (multiplicity 4)  6 Pd 2.61-2.87, 1 Mg 2.61, 2 Tl 2.84
Pd 0.2110 0.1080 0.6366 (multiplicity 8)  5 Pd 2.69-2.91, 2 Tl 2.72-2.88, 1 Mg 3.00

---

[10]
Mg2TlPd: relaxed, PBE-GGA.

The calculation puts the energy at -3.0846 eV/atom. The crystal system is tetragonal.

Cell lengths 3.2225, 3.2225, 7.8547 Å; angles 90.00, 90.00, 90.00 degrees
Closest atoms and distances in Å follow each position.
Space group P4/mmm (No. 123)
Asymmetric unit:
Mg 0.0000 0.0000 0.1969 (multiplicity 2)  4 Pd 2.75
Tl 0.5000 0.5000 0.5000 (multiplicity 1)  4 Tl 3.22, 8 Mg 3.30
Pd 0.5000 0.5000 0.0000 (multiplicity 1)  8 Mg 2.75

---

[11]
Mg2Tl2Pd: relaxed, PBE-GGA.

The calculation puts the energy at -2.6458 eV/atom. The crystal system is tetragonal. The excess energy over the best structure of this formula in the dataset comes out at 0.046 eV/atom.

Cell lengths 7.3231, 7.3231, 4.2691 Å; angles 90.00, 90.00, 90.00 degrees
Closest atoms and distances in Å follow each position.
Space group P4/mbm (No. 127)
Asymmetric unit:
Mg 0.1607 0.3393 0.0000 (multiplicity 4)  6 Tl 2.90-3.12
Tl 0.1490 0.6490 0.5000 (multiplicity 4)  2 Pd 2.79, 6 Mg 2.90-3.12, 1 Tl 3.09
Pd 0.0000 0.0000 0.5000 (multiplicity 2)  4 Tl 2.79

---

[12]
MgTl3Pd6: relaxed, PBE-GGA.

The calculation puts the energy at -4.1391 eV/atom. The crystal system is orthorhombic. The excess energy over the best structure of this formula in the dataset comes out at 0.113 eV/atom.

Cell lengths 10.1581, 13.1709, 5.7593 Å; angles 90.00, 90.00, 90.00 degrees
Closest atoms and distances in Å follow each position.
Space group Cmc2_1 (No. 36)
Asymmetric unit:
Mg 0.0000 0.1818 0.0000 (multiplicity 4)  6 Pd 2.76-3.04, 1 Tl 3.06
Tl 0.0000 0.4032 0.1621 (multiplicity 4)  6 Pd 2.82-3.03, 1 Mg 3.06
Tl 0.2071 0.0742 0.4710 (multiplicity 8)  7 Pd 2.72-2.85
Pd 0.0000 0.0075 0.7331 (multiplicity 4)  4 Tl 2.73, 2 Mg 2.76-2.83, 3 Pd 2.89-3.04
Pd 0.0000 0.2188 0.5214 (multiplicity 4)  2 Mg 2.80-3.04, 2 Tl 2.85, 7 Pd 2.87-3.05
Pd 0.1373 0.4070 0.5886 (multiplicity 8)  4 Tl 2.72-2.89, 4 Pd 2.79-2.87
Pd 0.2330 0.2663 0.2602 (multiplicity 8)  3 Tl 2.75-3.03, 6 Pd 2.81-3.05, 1 Mg 3.01

---

Q: Which DOS at the Fermi energy values were calculated for the entries above? A: 0.419 0.535 1.299 0.583 0.418 0.341 0.491 1.251 0.423 0.368 0.371 0.431, in states/eV per atom.
Q: Which size of the total moment values were calculated for the entries above? A: 0.00 0.00 0.00 0.00 0.00 0.00 0.00 0.00 0.00 0.00 0.00 0.00, in Bohr magnetons per cell.
Q: Which formation enthalpy at 0 K values were calculated for the entries above? A: -0.35 -0.27 -0.24 0.10 -0.21 -0.38 -0.18 -0.25 -0.15 -0.40 -0.02 -0.15, in eV/atom.